# K2FeCo, optimized geometry, DFT PBE
# formation energy from the elements = 0.6691 eV per atom
# uncorrected energy = -3.772 eV per atom
data_K2FeCo
_chemical_formula_sum 'K2 Fe1 Co1'
_cell_length_a 3.256
_cell_length_b 3.429
_cell_length_c 10.069
_cell_angle_alpha 90.00
_cell_angle_beta 90.00
_cell_angle_gamma 90.00
_space_group_name_H-M_alt 'P m m 2'
_space_group_IT_number 25
_space_group_name_Hall 'P 2 -2'
loop_
_atom_site_label
_atom_site_type_symbol
_atom_site_fract_x
_atom_site_fract_y
_atom_site_fract_z
K1 K 0.000 0.000 0.000
K2 K 0.500 0.500 0.419
Fe1 Fe 0.500 0.500 0.733
Co1 Co 0.000 0.000 0.684